#one
The following is a PBE calculation of a geometry-optimized V2CdN structure, from Alexandria.

Space-group type = Fm-3m, No. 225

Cell: 4.2422 4.2422 4.2422 Å, 60.00 60.00 60.00°
Last column: nearest neighbours and their distance in Å.
Element x y z (fractional)
Cd  0.5000  0.5000  0.5000  8 V 2.60
V  0.2500  0.2500  0.2500  4 N 2.60, 4 Cd 2.60
V  0.7500  0.7500  0.7500  4 Cd 2.60, 4 N 2.60
N  0.0000  0.0000  0.0000  8 V 2.60

---

#two
The following is a PBE calculation of a geometry-optimized V2CdN structure, from Alexandria.

Space-group type = I-42d, No. 122

Cell: 5.1533 5.1533 6.3896 Å, 66.22 66.22 90.00°
Last column: nearest neighbours and their distance in Å.
Element x y z (fractional)
Cd  0.0000  0.0000  0.0000  4 V 2.93
Cd  0.7500  0.2500  0.5000  4 V 2.93
V  0.4315  0.1250  0.2500  2 N 1.86
V  0.3185  0.6250  0.2500  2 N 1.86
V  0.3750  0.5685  0.7500  2 N 1.86
V  0.8750  0.6815  0.7500  2 N 1.86
N  0.5000  0.5000  0.0000  4 V 1.86
N  0.2500  0.7500  0.5000  4 V 1.86

---

Name the least stable of them. #one.

---

#one
The following is a PBE calculation of a geometry-optimized V3CdN structure, from Alexandria.

Space-group type = Pm-3m, No. 221

Cell: 5.0021 5.0021 5.0021 Å, 90.00 90.00 90.00°
Last column: nearest neighbours and their distance in Å.
Element x y z (fractional)
Cd  0.0000  0.0000  0.0000  6 V 2.50
V  0.0000  0.5000  0.0000  2 Cd 2.50
V  0.0000  0.0000  0.5000  2 Cd 2.50
V  0.5000  0.0000  0.0000  2 Cd 2.50
N  0.5000  0.5000  0.5000  12 V 3.54

---

#two
The following is a PBE calculation of a geometry-optimized V3CdN structure, from Alexandria.

Space-group type = Pm-3m, No. 221

Cell: 4.0236 4.0236 4.0236 Å, 90.00 90.00 90.00°
Last column: nearest neighbours and their distance in Å.
Element x y z (fractional)
N  0.0000  0.0000  0.0000  6 V 2.01
V  0.0000  0.5000  0.0000  2 N 2.01
V  0.0000  0.0000  0.5000  2 N 2.01
V  0.5000  0.0000  0.0000  2 N 2.01
Cd  0.5000  0.5000  0.5000  12 V 2.85

---

Name the least stable of them. #one.

---

#one
The following is a PBE calculation of a geometry-optimized CdW2N structure, from Alexandria.

Space-group type = Fm-3m, No. 225

Cell: 4.3527 4.3527 4.3527 Å, 60.00 60.00 60.00°
Last column: nearest neighbours and their distance in Å.
Element x y z (fractional)
N  0.0000  0.0000  0.0000  8 W 2.67
W  0.2500  0.2500  0.2500  4 Cd 2.67, 4 N 2.67
W  0.7500  0.7500  0.7500  4 N 2.67, 4 Cd 2.67
Cd  0.5000  0.5000  0.5000  8 W 2.67

---

#two
The following is a PBE calculation of a geometry-optimized CdW2N structure, from Alexandria.

Space-group type = I-42d, No. 122

Cell: 5.1633 5.1633 6.7491 Å, 67.51 67.51 90.00°
Last column: nearest neighbours and their distance in Å.
Element x y z (fractional)
N  0.5000  0.5000  0.0000  4 W 1.97
N  0.2500  0.7500  0.5000  4 W 1.97
W  0.4655  0.1250  0.2500  2 N 1.97
W  0.2845  0.6250  0.2500  2 N 1.97
W  0.3750  0.5345  0.7500  2 N 1.97
W  0.8750  0.7155  0.7500  2 N 1.97
Cd  0.0000  0.0000  0.0000  4 W 2.86
Cd  0.7500  0.2500  0.5000  4 W 2.86

---

Name the least stable of them. #one.

---

#one
The following is a PBE calculation of a geometry-optimized CdW3N structure, from Alexandria.

Space-group type = Pm-3m, No. 221

Cell: 4.1885 4.1885 4.1885 Å, 90.00 90.00 90.00°
Last column: nearest neighbours and their distance in Å.
Element x y z (fractional)
N  0.0000  0.0000  0.0000  6 W 2.09
W  0.0000  0.5000  0.0000  2 N 2.09
W  0.0000  0.0000  0.5000  2 N 2.09
W  0.5000  0.0000  0.0000  2 N 2.09
Cd  0.5000  0.5000  0.5000  12 W 2.96

---

#two
The following is a PBE calculation of a geometry-optimized CdW3N structure, from Alexandria.

Space-group type = Pm-3m, No. 221

Cell: 4.8447 4.8447 4.8447 Å, 90.00 90.00 90.00°
Last column: nearest neighbours and their distance in Å.
Element x y z (fractional)
N  0.5000  0.5000  0.5000  12 W 3.43
W  0.0000  0.5000  0.0000  2 Cd 2.42
W  0.0000  0.0000  0.5000  2 Cd 2.42
W  0.5000  0.0000  0.0000  2 Cd 2.42
Cd  0.0000  0.0000  0.0000  6 W 2.42

---

Name the least stable of them. #two.

---

#one
The following is a PBE calculation of a geometry-optimized Y2CdN structure, from Alexandria.

Space-group type = R-3m, No. 166

Cell: 3.5223 3.5223 8.1917 Å, 77.58 77.58 60.00°
Last column: nearest neighbours and their distance in Å.
Element x y z (fractional)
Y  0.7766  0.7766  0.6702  3 N 2.44
Y  0.2234  0.2234  0.3298  3 N 2.44
N  0.5000  0.5000  0.5000  6 Y 2.44
Cd  0.0000  0.0000  0.0000  6 Y 3.31, 6 Cd 3.52

---

#two
The following is a PBE calculation of a geometry-optimized Y2CdN structure, from Alexandria.

Space-group type = I-42d, No. 122

Cell: 6.8678 6.8678 6.3643 Å, 57.35 57.35 90.00°
Last column: nearest neighbours and their distance in Å.
Element x y z (fractional)
Y  0.5239  0.1250  0.2500  2 N 2.25
Y  0.2261  0.6250  0.2500  2 N 2.25
Y  0.3750  0.4761  0.7500  2 N 2.25
Y  0.8750  0.7739  0.7500  2 N 2.25
N  0.5000  0.5000  0.0000  4 Y 2.25
N  0.2500  0.7500  0.5000  4 Y 2.25
Cd  0.0000  0.0000  0.0000  4 Y 3.13
Cd  0.7500  0.2500  0.5000  4 Y 3.13

---

Name the least stable of them. #two.

---

#one
The following is a PBE calculation of a geometry-optimized YZr2CdN structure, from Alexandria.

Space-group type = P4/mmm, No. 123

Cell: 4.5407 4.5407 4.7947 Å, 90.00 90.00 90.00°
Last column: nearest neighbours and their distance in Å.
Element x y z (fractional)
Y  0.0000  0.0000  0.5000  2 N 2.40
N  0.0000  0.0000  0.0000  4 Zr 2.27, 2 Y 2.40
Zr  0.0000  0.5000  0.0000  2 N 2.27
Zr  0.5000  0.0000  0.0000  2 N 2.27
Cd  0.5000  0.5000  0.5000  4 Y 3.21, 8 Zr 3.30

---

#two
The following is a PBE calculation of a geometry-optimized YZr2CdN structure, from Alexandria.

Space-group type = P4/mmm, No. 123

Cell: 4.4803 5.2113 4.4803 Å, 90.00 90.00 90.00°
Last column: nearest neighbours and their distance in Å.
Element x y z (fractional)
Y  0.5000  0.5000  0.5000  4 Cd 3.17, 8 Zr 3.44
N  0.0000  0.0000  0.0000  4 Zr 2.24
Zr  0.0000  0.0000  0.5000  2 N 2.24
Zr  0.5000  0.0000  0.0000  2 N 2.24
Cd  0.0000  0.5000  0.0000  2 N 2.61

---

Name the least stable of them. #two.